[1]
! TaPb2 | OQMD | PBE | optimized geometry; values from VASP
! V ... 159.9 Å³/cell
! Raw total energy ... -30.41 eV per cell
! M_tot ... 0.02 μB/f.u.
! Space group ... Fd-3m, No. 227
&SYSTEM
  ibrav = 0, nat = 6, ntyp = 2
/
ATOMIC_SPECIES
Ta 180.95 Ta.upf
Pb 207.20 Pb.upf
CELL_PARAMETERS angstrom
0.0000 4.3080 4.3080
4.3080 0.0000 4.3080
4.3080 4.3080 0.0000
ATOMIC_POSITIONS angstrom
Ta 1.0770 1.0770 1.0770
Ta 7.5390 7.5390 7.5390
Pb 4.3080 2.1540 2.1540
Pb 2.1540 4.3080 2.1540
Pb 2.1540 2.1540 4.3080
Pb 4.3080 4.3080 4.3080

[2]
! LiZr2Os | OQMD | PBE | optimized geometry; values from VASP
! V ... 71.1 Å³/cell
! Raw total energy ... -31.17 eV per cell
! M_tot ... 0.00 μB/f.u.
! Space group ... P4/mmm, No. 123
&SYSTEM
  ibrav = 0, nat = 4, ntyp = 3
/
ATOMIC_SPECIES
Li 6.94 Li.upf
Zr 91.22 Zr.upf
Os 190.23 Os.upf
CELL_PARAMETERS angstrom
4.6471 0.0000 0.0000
0.0000 4.6471 0.0000
0.0000 0.0000 3.2933
ATOMIC_POSITIONS angstrom
Li 0.0000 0.0000 0.0000
Zr 0.0000 2.3235 1.6467
Zr 2.3235 0.0000 1.6467
Os 2.3235 2.3235 0.0000

[3]
! GdAg2 | OQMD | PBE | optimized geometry; values from VASP
! V ... 128.4 Å³/cell
! Raw total energy ... -21.63 eV per cell
! M_tot ... 0.01 μB/f.u.
! Space group ... Fd-3m, No. 227
! DFT formation energy ... -171 meV/atom
&SYSTEM
  ibrav = 0, nat = 6, ntyp = 2
/
ATOMIC_SPECIES
Gd 157.25 Gd.upf
Ag 107.87 Ag.upf
CELL_PARAMETERS angstrom
0.0000 4.0037 4.0037
4.0037 0.0000 4.0037
4.0037 4.0037 0.0000
ATOMIC_POSITIONS angstrom
Gd 1.0009 1.0009 1.0009
Gd 7.0065 7.0065 7.0065
Ag 4.0037 2.0019 2.0019
Ag 2.0019 4.0037 2.0019
Ag 2.0019 2.0019 4.0037
Ag 4.0037 4.0037 4.0037

[4]
! LuTlOs2 | OQMD | PBE | optimized geometry; values from VASP
! V ... 73.4 Å³/cell
! Raw total energy ... -26.94 eV per cell
! M_tot ... 1.71 μB/f.u.
! Space group ... F-43m, No. 216
&SYSTEM
  ibrav = 0, nat = 4, ntyp = 3
/
ATOMIC_SPECIES
Lu 174.97 Lu.upf
Tl 204.38 Tl.upf
Os 190.23 Os.upf
CELL_PARAMETERS angstrom
0.0000 3.3233 3.3233
3.3233 0.0000 3.3233
3.3233 3.3233 0.0000
ATOMIC_POSITIONS angstrom
Lu 0.0000 0.0000 0.0000
Tl 4.9850 4.9850 4.9850
Os 1.6617 1.6617 1.6617
Os 3.3233 3.3233 3.3233

[5]
! TbHoIn4Cu2 | OQMD | PBE | optimized geometry; values from VASP
! V ... 173.0 Å³/cell
! Raw total energy ... -30.21 eV per cell
! M_tot ... 0.01 μB/f.u.
! Space group ... Amm2, No. 38
&SYSTEM
  ibrav = 0, nat = 8, ntyp = 4
/
ATOMIC_SPECIES
Tb 158.93 Tb.upf
Ho 164.93 Ho.upf
In 114.82 In.upf
Cu 63.55 Cu.upf
CELL_PARAMETERS angstrom
7.3359 0.0000 0.0000
0.0000 2.2008 5.3576
0.0000 -2.2008 5.3576
ATOMIC_POSITIONS angstrom
Tb 0.0000 0.0000 0.0000
Ho 3.6680 0.0000 9.1867
In 1.4849 0.0000 3.1227
In 2.1896 0.0000 6.0691
In 5.1463 0.0000 6.0691
In 5.8510 0.0000 3.1227
Cu 0.0000 0.0000 7.6848
Cu 3.6680 0.0000 1.4972

[6]
! ZrCuAgAs | OQMD | PBE | optimized geometry; values from VASP
! V ... 71.7 Å³/cell
! Raw total energy ... -19.30 eV per cell
! M_tot ... 0.00 μB/f.u.
! Space group ... F-43m, No. 216
&SYSTEM
  ibrav = 0, nat = 4, ntyp = 4
/
ATOMIC_SPECIES
Zr 91.22 Zr.upf
Cu 63.55 Cu.upf
Ag 107.87 Ag.upf
As 74.92 As.upf
CELL_PARAMETERS angstrom
0.0000 3.2975 3.2975
3.2975 0.0000 3.2975
3.2975 3.2975 0.0000
ATOMIC_POSITIONS angstrom
Zr 0.0000 0.0000 0.0000
Cu 4.9462 4.9462 4.9462
Ag 1.6487 1.6487 1.6487
As 3.2975 3.2975 3.2975

[7]
! RbGdTeS | OQMD | PBE | optimized geometry; values from VASP
! V ... 262.8 Å³/cell
! Raw total energy ... -38.50 eV per cell
! M_tot ... 0.00 μB/f.u.
! Space group ... P-6m2, No. 187
&SYSTEM
  ibrav = 0, nat = 8, ntyp = 4
/
ATOMIC_SPECIES
Rb 85.47 Rb.upf
Gd 157.25 Gd.upf
Te 127.60 Te.upf
S 32.06 S.upf
CELL_PARAMETERS angstrom
4.3040 0.0000 0.0000
-2.1520 3.7274 0.0000
0.0000 0.0000 16.3836
ATOMIC_POSITIONS angstrom
Rb 0.0000 0.0000 0.0000
Rb 0.0000 2.4849 8.1918
Gd 2.1520 1.2425 4.4679
Gd 2.1520 1.2425 11.9156
Te 0.0000 2.4849 2.6118
Te 0.0000 2.4849 13.7718
S 0.0000 0.0000 5.8459
S 0.0000 0.0000 10.5377

[8]
! SrLiNbPd | OQMD | PBE | optimized geometry; values from VASP
! V ... 77.0 Å³/cell
! Raw total energy ... -17.35 eV per cell
! M_tot ... 0.01 μB/f.u.
! Space group ... F-43m, No. 216
&SYSTEM
  ibrav = 0, nat = 4, ntyp = 4
/
ATOMIC_SPECIES
Sr 87.62 Sr.upf
Li 6.94 Li.upf
Nb 92.91 Nb.upf
Pd 106.42 Pd.upf
CELL_PARAMETERS angstrom
0.0000 3.3762 3.3762
3.3762 0.0000 3.3762
3.3762 3.3762 0.0000
ATOMIC_POSITIONS angstrom
Sr 0.0000 0.0000 0.0000
Li 1.6881 1.6881 1.6881
Nb 5.0644 5.0644 5.0644
Pd 3.3762 3.3762 3.3762